# 1
A plane-wave DFT calculation with PBE was carried out for a relaxed KRb3I6 crystal.

Calculated values
- space group = Fm-3m, No. 225
- DFT total energy (eV per atom) = -2.20
- calculated volume (A^3/atom) = 62.205
- D(E_F) (states/eV/f.u.) = 22.33
- formation energy without anion corrections (eV per atom) = -0.87

Lattice parameters (Å, degrees): 9.582 9.582 9.582 60.00 60.00 90.00
Positions (direct):
I1 0.255 0.255 0.000
I2 0.745 0.745 0.000
I3 0.745 0.255 0.000
I4 0.255 0.745 0.000
I5 0.745 0.745 0.509
I6 0.255 0.255 0.491
Rb1 0.250 0.750 0.500
Rb2 0.750 0.250 0.500
Rb3 0.000 0.000 0.000
K1 0.500 0.500 0.000

# 2
A plane-wave DFT calculation with PBE was carried out for a relaxed KRbI2 crystal.

Calculated values
- space group = R-3m, No. 166
- DFT total energy (eV per atom) = -2.78
- calculated volume (A^3/atom) = 48.945
- D(E_F) (states/eV/f.u.) = 0.00
- formation energy without anion corrections (eV per atom) = -1.49
- distance to the lowest polymorph of the same formula (meV/atom) = 0

Lattice parameters (Å, degrees): 5.171 5.171 8.967 90.01 106.74 120.01
Positions (direct):
K1 0.000 0.000 0.000
Rb1 0.000 0.500 0.500
I1 0.507 0.254 0.761
I2 0.493 0.746 0.239

# 3
A plane-wave DFT calculation with PBE was carried out for a relaxed KRbReI6 crystal.

Calculated values
- space group = P-31c, No. 163
- DFT total energy (eV per atom) = -3.24
- calculated volume (A^3/atom) = 49.058
- formation energy without anion corrections (eV per atom) = -0.59

Lattice parameters (Å, degrees): 8.572 8.572 13.877 90.00 90.00 120.00
Positions (direct):
I1 0.409 0.069 0.134
I2 0.591 0.660 0.634
I3 0.069 0.409 0.634
I4 0.660 0.069 0.366
I5 0.069 0.660 0.866
I6 0.660 0.591 0.134
I7 0.340 0.409 0.866
I8 0.340 0.931 0.634
I9 0.931 0.591 0.366
I10 0.591 0.931 0.866
I11 0.409 0.340 0.366
I12 0.931 0.340 0.134
Re1 0.667 0.333 0.250
Re2 0.333 0.667 0.750
Rb1 0.000 0.000 0.500
Rb2 0.000 0.000 0.000
K1 0.333 0.667 0.250
K2 0.667 0.333 0.750

# 4
A plane-wave DFT calculation with PBE was carried out for a relaxed KRb2RhI6 crystal.

Calculated values
- space group = Fm-3m, No. 225
- DFT total energy (eV per atom) = -2.88
- calculated volume (A^3/atom) = 44.132
- D(E_F) (states/eV/f.u.) = 0.00
- formation energy without anion corrections (eV per atom) = -0.91

Lattice parameters (Å, degrees): 8.546 8.546 8.546 60.00 60.00 90.00
Positions (direct):
I1 0.777 0.223 0.000
I2 0.777 0.777 0.447
I3 0.223 0.223 0.000
I4 0.223 0.223 0.553
I5 0.223 0.777 0.000
I6 0.777 0.777 0.000
K1 0.500 0.500 0.000
Rb1 0.250 0.750 0.500
Rb2 0.750 0.250 0.500
Rh1 0.000 0.000 0.000